Entry 1:
Crystalline LaCu2Au4 at its relaxed geometry, computed with PBE.

a b c (Å): 5.287 5.688 5.688
angles (deg): 77.44 62.08 62.08
Atoms (fractional coordinates):
Cu 0.250 0.500 0.500
Cu 0.750 0.500 0.500
Au 0.699 0.603 0.000
Au 0.301 0.000 0.397
Au 0.301 0.397 0.000
Au 0.699 0.000 0.603
La 0.000 0.000 0.000

energy of formation from the pure elements	-258	kJ/mol of formula units
N(E_F)	3.70	states/eV per cell

Entry 2:
Crystalline Y3Sc5Se12 at its relaxed geometry, computed with PBE.

a b c (Å): 14.111 14.111 14.111
angles (deg): 109.47 109.47 109.47
Atoms (fractional coordinates):
Se 0.042 0.415 0.824
Se 0.585 0.958 0.676
Se 0.542 0.324 0.915
Se 0.217 0.542 0.627
Se 0.783 0.324 0.909
Se 0.127 0.717 0.542
Se 0.091 0.176 0.217
Se 0.627 0.585 0.909
Se 0.324 0.542 0.415
Se 0.176 0.091 0.717
Se 0.217 0.676 0.091
Se 0.373 0.415 0.091
Se 0.824 0.915 0.042
Se 0.409 0.283 0.324
Se 0.873 0.591 0.915
Se 0.085 0.909 0.127
Se 0.591 0.717 0.676
Se 0.283 0.409 0.824
Se 0.585 0.627 0.409
Se 0.415 0.373 0.591
Se 0.909 0.085 0.627
Se 0.717 0.127 0.042
Se 0.176 0.085 0.958
Se 0.127 0.409 0.085
Se 0.915 0.091 0.873
Se 0.542 0.217 0.127
Se 0.909 0.824 0.783
Se 0.783 0.458 0.373
Se 0.958 0.585 0.176
Se 0.676 0.458 0.585
Se 0.824 0.909 0.283
Se 0.717 0.591 0.176
Se 0.324 0.783 0.409
Se 0.958 0.373 0.283
Se 0.091 0.915 0.373
Se 0.409 0.127 0.585
Se 0.915 0.824 0.542
Se 0.415 0.042 0.324
Se 0.042 0.627 0.717
Se 0.627 0.042 0.217
Se 0.591 0.873 0.415
Se 0.458 0.783 0.873
Se 0.676 0.217 0.591
Se 0.283 0.873 0.958
Se 0.373 0.958 0.783
Se 0.085 0.176 0.458
Se 0.458 0.676 0.085
Se 0.873 0.283 0.458
Sc 0.000 0.500 0.500
Sc 0.625 0.875 0.250
Sc 0.125 0.750 0.375
Sc 0.375 0.125 0.750
Sc 0.000 0.000 0.500
Sc 0.875 0.250 0.625
Sc 0.500 0.000 0.500
Sc 0.500 0.500 0.500
Sc 0.250 0.875 0.125
Sc 0.125 0.375 0.250
Sc 0.500 0.000 0.000
Sc 0.750 0.625 0.375
Sc 0.000 0.000 0.000
Sc 0.250 0.375 0.625
Sc 0.875 0.625 0.750
Sc 0.000 0.500 0.000
Sc 0.500 0.500 0.000
Sc 0.375 0.250 0.125
Sc 0.625 0.750 0.875
Sc 0.750 0.125 0.875
Y 0.125 0.875 0.750
Y 0.125 0.250 0.875
Y 0.250 0.625 0.875
Y 0.625 0.250 0.375
Y 0.375 0.625 0.250
Y 0.375 0.750 0.625
Y 0.875 0.750 0.125
Y 0.750 0.375 0.125
Y 0.875 0.125 0.250
Y 0.750 0.875 0.625
Y 0.250 0.125 0.375
Y 0.625 0.375 0.750

formation energy without anion corrections	-1.61	eV per atom

Entry 3:
Crystalline SrTiPS2 at its relaxed geometry, computed with PBE.

a b c (Å): 4.794 4.794 4.785
angles (deg): 90.00 90.00 90.00
Atoms (fractional coordinates):
S 0.500 0.000 0.000
S 0.000 0.500 0.000
Ti 0.000 0.000 0.000
P 0.000 0.000 0.500
Sr 0.500 0.500 0.500

formation energy without anion corrections	-1.12	eV per atom
excess energy over the best structure of this formula in the dataset	0.00	eV/f.u.
N(E_F)	1.84	states/eV per cell

We obtain spin magnetization values of 0.000; 0.000; 0.000 Bohr magnetons per cell for the records listed above, in that order.